(1)
VASP calculation (SCAN) on a crystal of CsLiHg3 relaxed with PBEsol.

Energy of formation from the pure elements = -0.2935 eV/atom
Crystal system = cubic
Magnetization = 0.00 μB/f.u.

abc: 5.2988 5.2988 5.2988
angles: 90.00 90.00 90.00
Space group Pm-3m (No. 221)
One atom of each set of equivalent atoms:
Cs 0.0000 0.0000 0.0000 [1 per cell]
Li 0.5000 0.5000 0.5000 [1 per cell]
Hg 0.0000 0.5000 0.5000 [3 per cell]

---

(2)
VASP calculation (SCAN) on a crystal of CsLi3Hg relaxed with PBEsol.

Energy of formation from the pure elements = -0.0984 eV/atom
Crystal system = cubic
Magnetization = 0.00 μB/f.u.

abc: 5.4372 5.4372 5.4372
angles: 90.00 90.00 90.00
Space group Pm-3m (No. 221)
One atom of each set of equivalent atoms:
Cs 0.0000 0.0000 0.0000 [1 per cell]
Li 0.0000 0.5000 0.5000 [3 per cell]
Hg 0.5000 0.5000 0.5000 [1 per cell]

---

(3)
VASP calculation (SCAN) on a crystal of CsMgHg3 relaxed with PBEsol.

Energy of formation from the pure elements = -0.2619 eV/atom
Crystal system = cubic
Magnetization = 0.00 μB/f.u.

abc: 5.5415 5.5415 5.5415
angles: 90.00 90.00 90.00
Space group Pm-3m (No. 221)
One atom of each set of equivalent atoms:
Cs 0.0000 0.0000 0.0000 [1 per cell]
Mg 0.5000 0.5000 0.5000 [1 per cell]
Hg 0.0000 0.5000 0.5000 [3 per cell]

---

(4)
VASP calculation (SCAN) on a crystal of CsMg2TiHg relaxed with PBEsol.

Energy of formation from the pure elements = 1.5516 eV/atom
Crystal system = tetragonal
Magnetization = 4.34 μB/f.u.

abc: 6.6515 6.6515 5.7421
angles: 90.00 90.00 90.00
Space group P4/mmm (No. 123)
One atom of each set of equivalent atoms:
Cs 0.0000 0.0000 0.0000 [1 per cell]
Mg 0.0000 0.5000 0.0000 [2 per cell]
Ti 0.0000 0.0000 0.5000 [1 per cell]
Hg 0.5000 0.5000 0.5000 [1 per cell]

---

(5)
VASP calculation (SCAN) on a crystal of CsMn3Hg relaxed with PBEsol.

Energy of formation from the pure elements = 0.5204 eV/atom
Crystal system = cubic
Magnetization = 13.87 μB/f.u.

abc: 5.2122 5.2122 5.2122
angles: 90.00 90.00 90.00
Space group Pm-3m (No. 221)
One atom of each set of equivalent atoms:
Cs 0.0000 0.0000 0.0000 [1 per cell]
Mn 0.0000 0.5000 0.5000 [3 per cell]
Hg 0.5000 0.5000 0.5000 [1 per cell]

---

(6)
VASP calculation (SCAN) on a crystal of CsMnHgPd2 relaxed with PBEsol.

Energy of formation from the pure elements = 1.3702 eV/atom
Crystal system = tetragonal
Magnetization = 4.86 μB/f.u.

abc: 5.1438 5.1438 6.1588
angles: 90.00 90.00 90.00
Space group P4/mmm (No. 123)
One atom of each set of equivalent atoms:
Cs 0.0000 0.0000 0.0000 [1 per cell]
Mn 0.5000 0.5000 0.5000 [1 per cell]
Hg 0.0000 0.0000 0.5000 [1 per cell]
Pd 0.0000 0.5000 0.0000 [2 per cell]

---

For reference, electronic total energy by record: -49.233; -22.728; -49.718; -24.839; -31.628; -36.586 eV per atom.